VASP calculation (meta-GGA SCAN) on BaSc2Se at its PBEsol-relaxed geometry.

Lattice parameters (Å, degrees): 3.646 5.101 5.478 90.00 90.00 90.00
Space group Pmmm (No. 47)
One atom of each set of equivalent atoms:
Ba 0.000 0.000 0.000 [1 per cell]
Sc 0.000 0.500 0.500 [1 per cell]
Sc 0.500 0.500 0.000 [1 per cell]
Se 0.500 0.000 0.500 [1 per cell]

Properties
ΔE_f (raw) = -1.14 eV/f.u.
Mass density = 5.0 g/cm3
Total energy = -22.311 eV/atom
Calculated volume = 101.9 Å³/cell